VP2O7: optimized geometry, PBE with a Hubbard U.

E above lowest polymorph = 0 meV/atom
raw total energy = -7.43 eV/atom

Lattice parameters (Å, degrees): 5.185 6.726 8.162 69.80 88.09 88.49
Space group P-1 (No. 2)
Symmetry-distinct sites (fractional):
V (0.240, 0.207, 0.231) x2
P (0.241, 0.106, 0.668) x2
P (0.281, 0.459, 0.809) x2
O (0.035, 0.955, 0.263) x2
O (0.081, 0.636, 0.751) x2
O (0.210, 0.289, 0.987) x2
O (0.274, 0.132, 0.474) x2
O (0.279, 0.343, 0.667) x2
O (0.445, 0.465, 0.196) x2
O (0.448, 0.963, 0.778) x2